# 1
AlV2Si4: optimized geometry, PBE.

a b c (Å): 4.741 4.741 6.847
angles (deg): 69.74 69.74 90.00
Atoms (fractional coordinates):
Si1 0.202 0.202 0.596
Si2 0.798 0.798 0.404
Si3 0.000 0.500 0.000
Si4 0.500 0.000 0.000
Al1 0.000 0.000 0.000
V1 0.409 0.409 0.181
V2 0.591 0.591 0.819

Properties
* total magnetization: 0.0 μB/f.u.
* crystal system: tetragonal
* volume: 19.17 A^3/atom
* energy relative to the elements, uncorrected: 824.3 meV/atom

# 2
SrAc3Mg4: optimized geometry, PBE.

a b c (Å): 5.837 8.275 11.678
angles (deg): 90.00 90.00 90.00
Atoms (fractional coordinates):
Sr1 0.000 0.500 0.000
Sr2 0.000 0.500 0.500
Ac1 0.000 0.000 0.000
Ac2 0.000 0.000 0.500
Ac3 0.500 0.000 0.750
Ac4 0.500 0.000 0.250
Ac5 0.500 0.500 0.750
Ac6 0.500 0.500 0.250
Mg1 0.500 0.751 0.000
Mg2 0.500 0.751 0.500
Mg3 0.500 0.249 0.000
Mg4 0.500 0.249 0.500
Mg5 0.000 0.751 0.750
Mg6 0.000 0.751 0.250
Mg7 0.000 0.249 0.250
Mg8 0.000 0.249 0.750

Properties
* total magnetization: 0.0 μB/f.u.
* crystal system: tetragonal
* volume: 35.25 A^3/atom
* formation energy from the elements: -0.0703 eV/atom

# 3
CoH3Cl6: optimized geometry, PBE.

a b c (Å): 7.648 7.648 7.648
angles (deg): 76.28 76.28 76.28
Each line ends with the local moment (μB).
Atoms (fractional coordinates):
Co1 0.000 0.000 0.000  2.49
Co2 0.500 0.500 0.500  0.74
H1 0.235 0.635 0.100  0.00
H2 0.100 0.235 0.635  0.00
H3 0.365 0.900 0.765  0.00
H4 0.635 0.100 0.235  0.00
H5 0.900 0.765 0.365  0.00
H6 0.765 0.365 0.900  0.00
Cl1 0.102 0.672 0.997  0.07
Cl2 0.003 0.898 0.328  0.07
Cl3 0.205 0.460 0.588  0.03
Cl4 0.328 0.003 0.898  0.07
Cl5 0.460 0.588 0.205  0.03
Cl6 0.412 0.795 0.540  0.03
Cl7 0.588 0.205 0.460  0.03
Cl8 0.540 0.412 0.795  0.03
Cl9 0.672 0.997 0.102  0.07
Cl10 0.795 0.540 0.412  0.03
Cl11 0.997 0.102 0.672  0.07
Cl12 0.898 0.328 0.003  0.07

Properties
* total magnetization: 2.0 μB/f.u.
* crystal system: trigonal
* uncorrected energy: -64.10 eV per cell
* volume: 20.72 A^3/atom

# 4
LiCd5Au8: optimized geometry, PBE.

a b c (Å): 7.109 7.109 7.109
angles (deg): 109.47 109.48 109.47
Atoms (fractional coordinates):
Li1 0.250 0.500 0.750
Cd1 0.962 0.402 0.124
Cd2 0.876 0.837 0.277
Cd3 0.723 0.598 0.560
Cd4 0.500 0.000 0.500
Cd5 0.440 0.163 0.038
Au1 0.119 0.764 0.012
Au2 0.988 0.107 0.751
Au3 0.840 0.239 0.403
Au4 0.597 0.438 0.836
Au5 0.398 0.562 0.160
Au6 0.644 0.893 0.881
Au7 0.249 0.236 0.356
Au8 0.164 0.761 0.602

Properties
* total magnetization: 0.0 μB/f.u.
* crystal system: tetragonal
* volume: 19.76 A^3/atom
* formation energy from the elements: -0.1537 eV/atom

# 5
HfZr2O: optimized geometry, PBE.

a b c (Å): 5.198 5.674 9.767
angles (deg): 89.99 90.00 90.00
Atoms (fractional coordinates):
Hf1 0.250 0.597 0.250
Hf2 0.750 0.403 0.750
Hf3 0.750 0.903 0.250
Hf4 0.250 0.097 0.750
Zr1 0.756 0.918 0.917
Zr2 0.244 0.082 0.083
Zr3 0.256 0.582 0.583
Zr4 0.744 0.418 0.417
Zr5 0.756 0.418 0.083
Zr6 0.244 0.582 0.917
Zr7 0.256 0.082 0.417
Zr8 0.744 0.918 0.583
O1 0.000 0.250 0.585
O2 0.000 0.750 0.415
O3 0.500 0.250 0.915
O4 0.500 0.750 0.085

Properties
* total magnetization: 0.0 μB/f.u.
* crystal system: orthorhombic
* volume: 18.00 A^3/atom
* energy relative to the elements, uncorrected: -1352.0 meV/atom

# 6
Cd2TeW: optimized geometry, PBE.

a b c (Å): 4.830 3.074 5.973
angles (deg): 74.37 90.00 90.00
Atoms (fractional coordinates):
Te1 0.000 0.681 0.517
W1 0.500 0.560 0.749
Cd1 0.000 0.940 0.982
Cd2 0.500 0.319 0.253

Properties
* total magnetization: 0.0 μB/f.u.
* crystal system: monoclinic
* volume: 21.35 A^3/atom
* energy relative to the elements, uncorrected: 606.1 meV/atom

# 7
Pr2SmTm2Th2: optimized geometry, PBE.

a b c (Å): 5.619 6.582 11.595
angles (deg): 134.25 90.00 115.27
Atoms (fractional coordinates):
Pr1 0.771 0.542 0.891
Pr2 0.229 0.458 0.109
Sm1 0.000 0.000 0.500
Tm1 0.569 0.139 0.181
Tm2 0.431 0.861 0.819
Th1 0.753 0.506 0.585
Th2 0.247 0.494 0.415

Properties
* total magnetization: 0.0 μB/f.u.
* crystal system: monoclinic
* volume: 35.24 A^3/atom
* formation energy from the elements: 0.2406 eV/atom

# 8
LaMgCl: optimized geometry, PBE.

a b c (Å): 5.203 5.203 5.203
angles (deg): 60.00 60.00 60.00
Atoms (fractional coordinates):
Cl1 0.000 0.000 0.000
La1 0.500 0.500 0.500
Mg1 0.250 0.250 0.250

Properties
* total magnetization: 0.0 μB/f.u.
* crystal system: cubic
* excess energy over the best structure of this formula in the dataset: 958 meV per atom
* volume: 33.19 A^3/atom
* energy relative to the elements, uncorrected: -42.6 meV/atom

# 9
Sr2Ga3BiPd4: optimized geometry, PBE.

a b c (Å): 4.575 4.575 10.445
angles (deg): 90.00 90.00 90.00
Atoms (fractional coordinates):
Sr1 0.500 0.000 0.237
Sr2 0.000 0.500 0.763
Ga1 0.000 0.000 0.500
Ga2 0.500 0.000 0.889
Ga3 0.000 0.500 0.111
Bi1 0.500 0.500 0.500
Pd1 0.500 0.500 0.000
Pd2 0.000 0.000 0.000
Pd3 0.500 0.000 0.648
Pd4 0.000 0.500 0.352

Properties
* total magnetization: 0.0 μB/f.u.
* crystal system: tetragonal
* volume: 21.86 A^3/atom
* formation energy from the elements: -0.6748 eV/atom

# 10
RbBeSbTe3: optimized geometry, PBE.

a b c (Å): 4.293 10.469 10.288
angles (deg): 109.27 90.00 90.00
Atoms (fractional coordinates):
Rb1 0.250 0.192 0.234
Rb2 0.750 0.808 0.766
Be1 0.250 0.077 0.599
Be2 0.750 0.923 0.401
Sb1 0.250 0.663 0.135
Sb2 0.750 0.337 0.865
Te1 0.750 0.875 0.150
Te2 0.250 0.125 0.850
Te3 0.250 0.828 0.473
Te4 0.750 0.172 0.527
Te5 0.750 0.456 0.163
Te6 0.250 0.544 0.837

Properties
* total magnetization: 0.0 μB/f.u.
* crystal system: monoclinic
* volume: 36.38 A^3/atom
* energy relative to the elements, uncorrected: -447.5 meV/atom

# 11
Dy4YRh5: optimized geometry, PBE.

a b c (Å): 3.400 3.400 17.419
angles (deg): 90.00 90.00 90.00
Atoms (fractional coordinates):
Dy1 0.000 0.000 0.200
Dy2 0.000 0.000 0.400
Dy3 0.000 0.000 0.600
Dy4 0.000 0.000 0.800
Y1 0.000 0.000 0.000
Rh1 0.500 0.500 0.101
Rh2 0.500 0.500 0.300
Rh3 0.500 0.500 0.500
Rh4 0.500 0.500 0.700
Rh5 0.500 0.500 0.899

Properties
* total magnetization: 0.0 μB/f.u.
* crystal system: tetragonal
* volume: 20.14 A^3/atom
* formation energy from the elements: -0.8620 eV/atom